MnAs2Pb2O6: optimized geometry, PBE with a Hubbard U.

abc: 6.1006 6.1006 5.6807
angles: 108.04 108.04 65.64
Sites, in units of the cell vectors:
Mn (0.0000, 0.0000, 0.0000)
As (0.4671, 0.4671, 0.2346)
As (0.5329, 0.5329, 0.7654)
Pb (0.1792, 0.1792, 0.6628)
Pb (0.8208, 0.8208, 0.3372)
O (0.1804, 0.7926, 0.2422)
O (0.2074, 0.8196, 0.7578)
O (0.2834, 0.2834, 0.1264)
O (0.7166, 0.7166, 0.8736)
O (0.7926, 0.1804, 0.2422)
O (0.8196, 0.2074, 0.7578)

Summary:
The calculation puts the volume at 16.28 A^3/atom. The calculation puts the magnetic moment at 4.016 Bohr magnetons per cell. Its space-group type is No. 12. The total energy is -5.991 eV/atom.